Density functional theory data (PBEsol) for crystalline RbSO4 at its relaxed geometry.

Output
Space group: P2_1/c
DFT total energy in eV/atom: -5.84
Volume in Å³/cell: 388

a = 7.565 Å, b = 7.744 Å, c = 7.573 Å
α = 90.00°, β = 90.00°, γ = 119.13°
Site moments in Bohr magnetons follow the coordinates.
Atoms (fractional coordinates):
O1 0.302 0.875 0.619  0.22
O2 0.075 0.875 0.392  0.22
Rb1 0.250 0.500 0.757  0.00
Rb2 0.750 0.000 0.506  0.00
O3 0.574 0.375 0.871  0.22
S1 0.749 0.000 0.006  -0.02
O4 0.426 0.625 0.371  0.22
O5 0.199 0.124 0.620  0.22
S2 0.251 0.000 0.506  -0.02
O6 0.074 0.375 0.371  0.22
O7 0.427 0.126 0.393  0.22
O8 0.802 0.375 0.644  0.23
S3 0.750 0.500 0.758  -0.02
O9 0.801 0.876 0.120  0.22
O10 0.926 0.625 0.871  0.22
O11 0.699 0.625 0.644  0.22
O12 0.698 0.125 0.119  0.22
Rb3 0.750 0.500 0.257  0.00
S4 0.250 0.500 0.258  -0.02
Rb4 0.250 0.000 0.006  0.00
O13 0.301 0.375 0.144  0.22
O14 0.198 0.625 0.144  0.23
O15 0.925 0.125 0.892  0.22
O16 0.573 0.874 0.893  0.22